No. 1
A plane-wave DFT calculation with PBE was carried out for a relaxed Th4NiHg crystal.

theoretical density	12.07	g/cm3
calculated formation energy	-18.37	kJ/mol of atoms
total energy	-6.1508	eV per atom

Cell lengths 5.9003, 7.4413, 7.4413 Å; angles 90.00, 90.00, 90.00 degrees
Last column: nearest neighbours and their distance in Å.
Fractional coordinates of all 12 atoms:
Th: 0.5000 0.3552 0.8247  2 Ni 3.03, 2 Hg 3.30, 1 Th 3.38
Th: 0.5000 0.6448 0.1753  2 Ni 3.03, 2 Hg 3.30, 1 Th 3.38
Th: 0.0000 0.6448 0.8247  2 Ni 3.03, 2 Hg 3.30, 1 Th 3.38
Hg: 0.7500 0.0000 0.0000  2 Hg 2.95, 8 Th 3.30
Th: 0.0000 0.1753 0.6448  2 Ni 3.03, 2 Hg 3.30, 1 Th 3.38
Th: 0.5000 0.8247 0.6448  2 Ni 3.03, 2 Hg 3.30, 1 Th 3.38
Th: 0.0000 0.3552 0.1753  2 Ni 3.03, 2 Hg 3.30, 1 Th 3.38
Ni: 0.2500 0.5000 0.5000  2 Ni 2.95, 8 Th 3.03
Hg: 0.2500 0.0000 0.0000  2 Hg 2.95, 8 Th 3.30
Th: 0.0000 0.8247 0.3552  2 Ni 3.03, 2 Hg 3.30, 1 Th 3.38
Ni: 0.7500 0.5000 0.5000  2 Ni 2.95, 8 Th 3.03
Th: 0.5000 0.1753 0.3552  2 Ni 3.03, 2 Hg 3.30, 1 Th 3.38

=====

No. 2
A plane-wave DFT calculation with PBE was carried out for a relaxed SrMnZn2 crystal.

theoretical density	4.81	g/cm3
calculated formation energy	2.81	kJ/mol of atoms
total energy	-3.3207	eV per atom

Cell lengths 4.4204, 4.4204, 6.1219 Å; angles 69.08, 69.08, 59.95 degrees
Last column: nearest neighbours and their distance in Å.
Fractional coordinates of all 4 atoms:
Zn: 0.9400 0.9400 0.1791  3 Zn 2.59, 3 Mn 2.67
Zn: 0.2478 0.2478 0.2566  3 Mn 2.57-2.58, 3 Zn 2.59
Mn: 0.5604 0.5604 0.3190  6 Zn 2.57-2.67
Sr: 0.7518 0.7518 0.7453  4 Zn 3.16-3.52, 4 Mn 3.20-3.49

=====

No. 3
A plane-wave DFT calculation with PBE was carried out for a relaxed Ba2ZrRe crystal.

energy relative to the lowest polymorph listed for this composition	0.816	eV/atom
theoretical density	7.82	g/cm3
calculated formation energy	122.39	kJ/mol of atoms
total energy	-4.9420	eV per atom

Cell lengths 3.2076, 3.2076, 11.3934 Å; angles 90.00, 90.00, 90.00 degrees
Last column: nearest neighbours and their distance in Å.
Fractional coordinates of all 4 atoms:
Zr: 0.5000 0.5000 0.7500  4 Zr 3.21
Ba: 0.0000 0.0000 0.0339  4 Ba 3.21, 4 Re 3.35
Re: 0.5000 0.5000 0.2500  4 Re 3.21, 8 Ba 3.35
Ba: 0.0000 0.0000 0.4661  4 Ba 3.21, 4 Re 3.35